No. 1
A relaxed structure of CuSnH2F8. Source: Alexandria, functional GGA-PBE.

Summary:
Size of the total moment = 1.0 μB per formula unit
E_tot = -52.3 eV/cell

Cell lengths 4.8056, 4.8658, 6.7032 Å; angles 101.82, 89.42, 80.55 degrees
Fractional coordinates of all 12 atoms:
Cu 0.0000 0.0000 0.5000
Sn 0.0000 0.0000 0.0000
H 0.2396 0.4573 0.6564
H 0.7604 0.5427 0.3436
F 0.1863 0.8383 0.2386
F 0.7298 0.7475 0.9975
F 0.7776 0.2820 0.2458
F 0.8137 0.1617 0.7614
F 0.2702 0.2525 0.0025
F 0.2224 0.7180 0.7542
F 0.7328 0.7350 0.4521
F 0.2672 0.2650 0.5479

=====

No. 2
A relaxed structure of CaMg4Pt. Source: Alexandria, functional GGA-PBE.

Summary:
ΔE_f = -122 meV/atom
Size of the total moment = 0.0 μB per formula unit

Cell lengths 5.6619, 5.6619, 5.6619 Å; angles 60.00, 60.00, 60.00 degrees
Fractional coordinates of all 6 atoms:
Ca 0.0000 0.0000 0.0000
Mg 0.8710 0.3763 0.3763
Mg 0.3763 0.3763 0.8710
Mg 0.3763 0.8710 0.3763
Mg 0.3763 0.3763 0.3763
Pt 0.7500 0.7500 0.7500